PrZrZnIr2 | Alexandria | PBE | relaxed; ΔE_f = -3.2 eV/f.u.; magnetization = 0.0 μB per cell
1.0
-2.0788 2.0788 5.9926
2.0788 -2.0788 5.9926
2.0788 2.0788 -5.9926
Pr Zr Zn Ir
1 1 1 2
Direct
0.0000 0.0000 0.0000 Pr
0.7500 0.2500 0.5000 Zr
0.2500 0.7500 0.5000 Zn
0.3915 0.3915 0.0000 Ir
0.6085 0.6085 0.0000 Ir